[1]
Compound: LiSc2Ta
Source: Alexandria via LeMat-Bulk
Functional: PBE-GGA
Structure: relaxed

Lattice parameters (Å, degrees): 5.6482 5.6482 5.6482 146.87 126.05 64.79
Sites, in units of the cell vectors:
Li 0.2500 0.7500 0.5000
Sc 0.0179 0.0179 0.0000
Sc 0.4821 0.4821 0.0000
Ta 0.7500 0.2500 0.5000

Results
- Formation energy from the elements: 349 meV per atom
- E above lowest polymorph: 0.2184 eV per atom
- DOS at the Fermi energy: 5.457 states/eV/cell
- Symmetry: No. 71

***

[2]
Compound: PrThZn2
Source: Alexandria via LeMat-Bulk
Functional: PBE-GGA
Structure: relaxed

Lattice parameters (Å, degrees): 3.6846 3.6846 7.3884 90.00 90.00 90.00
Sites, in units of the cell vectors:
Pr 0.5000 0.5000 0.5000
Zn 0.0000 0.0000 0.7531
Zn 0.0000 0.0000 0.2469
Th 0.5000 0.5000 0.0000

Results
- Formation energy from the elements: -236 meV per atom
- E above lowest polymorph: 0.0000 eV per atom
- DOS at the Fermi energy: 3.992 states/eV/cell
- Symmetry: No. 123

***

[3]
Compound: Ti2V2W
Source: Alexandria via LeMat-Bulk
Functional: PBE-GGA
Structure: relaxed

Lattice parameters (Å, degrees): 2.5561 4.6145 7.0436 109.09 100.45 90.00
Sites, in units of the cell vectors:
Ti 0.3966 0.3972 0.7931
Ti 0.6034 0.6028 0.2069
V 0.7023 0.2020 0.4047
V 0.2977 0.7980 0.5953
W 0.0000 0.0000 0.0000

Results
- Formation energy from the elements: 167 meV per atom
- E above lowest polymorph: 0.0000 eV per atom
- DOS at the Fermi energy: 7.146 states/eV/cell
- Symmetry: No. 71

***

[4]
Compound: Pm2SbAs
Source: Alexandria via LeMat-Bulk
Functional: PBE-GGA
Structure: relaxed

Lattice parameters (Å, degrees): 5.3453 5.3453 5.3453 60.00 60.00 60.00
Sites, in units of the cell vectors:
Sb 0.0000 0.0000 0.0000
As 0.5000 0.5000 0.5000
Pm 0.2500 0.2500 0.2500
Pm 0.7500 0.7500 0.7500

Results
- E above lowest polymorph: 0.4104 eV per atom
- Energy relative to the elements, uncorrected: -0.932 eV/atom
- DOS at the Fermi energy: 3.088 states/eV/cell
- Symmetry: No. 225

***

[5]
Compound: Nd5Cd4Ir
Source: Alexandria via LeMat-Bulk
Functional: PBE-GGA
Structure: relaxed

Lattice parameters (Å, degrees): 3.7323 3.7323 19.6315 90.00 90.00 90.00
Sites, in units of the cell vectors:
Nd 0.5000 0.5000 0.0831
Nd 0.5000 0.5000 0.2935
Nd 0.5000 0.5000 0.5000
Nd 0.5000 0.5000 0.7065
Nd 0.5000 0.5000 0.9169
Cd 0.0000 0.0000 0.1930
Cd 0.0000 0.0000 0.3972
Cd 0.0000 0.0000 0.6028
Cd 0.0000 0.0000 0.8070
Ir 0.0000 0.0000 0.0000

Results
- Formation energy from the elements: -376 meV per atom
- DOS at the Fermi energy: 8.520 states/eV/cell
- Symmetry: No. 123

***

[6]
Compound: Mg7Sn2Au2
Source: Alexandria via LeMat-Bulk
Functional: PBE-GGA
Structure: relaxed

Lattice parameters (Å, degrees): 6.3544 6.8373 6.3544 90.09 101.28 89.91
Sites, in units of the cell vectors:
Mg 0.9998 0.2592 0.4995
Mg 0.4995 0.7408 0.9998
Mg 0.0002 0.7408 0.5005
Mg 0.5005 0.2592 0.0002
Mg 0.0000 0.0000 0.0000
Mg 0.5001 0.7589 0.4999
Mg 0.4999 0.2411 0.5001
Sn 0.8116 0.5000 0.8116
Sn 0.1884 0.5000 0.1884
Au 0.7214 0.9996 0.2786
Au 0.2786 0.0004 0.7214

Results
- Formation energy from the elements: -230 meV per atom
- DOS at the Fermi energy: 4.821 states/eV/cell
- Symmetry: No. 12

***

[7]
Compound: UMnV2
Source: Alexandria via LeMat-Bulk
Functional: PBE-GGA
Structure: relaxed

Lattice parameters (Å, degrees): 4.7516 3.5538 3.5538 90.00 90.00 90.00
Sites, in units of the cell vectors:
Mn 0.5000 0.0000 0.0000
U 0.5000 0.5000 0.5000
V 0.0000 0.0000 0.5000
V 0.0000 0.5000 0.0000

Results
- Formation energy from the elements: 201 meV per atom
- E above lowest polymorph: 0.0483 eV per atom
- DOS at the Fermi energy: 7.486 states/eV/cell
- Symmetry: No. 123

***

[8]
Compound: Ce2PaNiS4
Source: Alexandria via LeMat-Bulk
Functional: PBE-GGA
Structure: relaxed

Lattice parameters (Å, degrees): 6.7345 5.8769 5.8769 70.83 55.04 55.04
Sites, in units of the cell vectors:
Ce 0.0000 0.5000 0.5000
Ce 0.5000 0.5000 0.5000
Pa 0.0000 0.0000 0.0000
Ni 0.5000 0.0000 0.0000
S 0.1029 0.3917 0.0000
S 0.8971 0.0000 0.6083
S 0.5054 0.0000 0.3917
S 0.4946 0.6083 0.0000

Results
- Energy relative to the elements, uncorrected: -1.385 eV/atom
- DOS at the Fermi energy: 15.710 states/eV/cell
- Symmetry: No. 121

***

[9]
Compound: Cd3Tc
Source: Alexandria via LeMat-Bulk
Functional: PBE-GGA
Structure: relaxed

Lattice parameters (Å, degrees): 2.9962 2.9962 9.8758 90.00 90.00 120.00
Sites, in units of the cell vectors:
Cd 0.0000 0.0000 0.9841
Cd 0.0000 0.0000 0.5159
Cd 0.3333 0.6667 0.2500
Tc 0.3333 0.6667 0.7500

Results
- Formation energy from the elements: 309 meV per atom
- E above lowest polymorph: 0.0555 eV per atom
- DOS at the Fermi energy: 1.990 states/eV/cell
- Symmetry: No. 187

***

[10]
Compound: InTePt
Source: Alexandria via LeMat-Bulk
Functional: PBE-GGA
Structure: relaxed

Lattice parameters (Å, degrees): 4.0065 4.0065 5.3468 90.00 90.00 120.00
Sites, in units of the cell vectors:
In 0.0000 0.0000 0.0584
Pt 0.3333 0.6667 0.3420
Te 0.6667 0.3333 0.5996

Results
- Energy relative to the elements, uncorrected: -0.258 eV/atom
- DOS at the Fermi energy: 2.158 states/eV/cell
- Symmetry: No. 156

***

[11]
Compound: InTcBr2N
Source: Alexandria via LeMat-Bulk
Functional: PBE-GGA
Structure: relaxed

Lattice parameters (Å, degrees): 4.5284 5.0446 4.5284 90.00 90.00 90.00
Sites, in units of the cell vectors:
N 0.0000 0.0000 0.0000
Tc 0.5000 0.5000 0.5000
Br 0.0000 0.0000 0.5000
Br 0.5000 0.0000 0.0000
In 0.0000 0.5000 0.0000

Results
- Energy relative to the elements, uncorrected: 1.341 eV/atom
- DOS at the Fermi energy: 2.048 states/eV/cell
- Symmetry: No. 123

***

[12]
Compound: BaPuCuTe3
Source: Alexandria via LeMat-Bulk
Functional: PBE-GGA
Structure: relaxed

Lattice parameters (Å, degrees): 4.4691 9.5089 9.8915 104.92 90.00 90.00
Sites, in units of the cell vectors:
Ba 0.2500 0.1879 0.2440
Ba 0.7500 0.8121 0.7560
Pu 0.2500 0.6725 0.1566
Pu 0.7500 0.3275 0.8434
Cu 0.2500 0.0783 0.5841
Cu 0.7500 0.9217 0.4159
Te 0.7500 0.8945 0.1379
Te 0.2500 0.1055 0.8621
Te 0.2500 0.7888 0.4780
Te 0.7500 0.2112 0.5220
Te 0.7500 0.4469 0.1711
Te 0.2500 0.5531 0.8289

Results
- Energy relative to the elements, uncorrected: -1.044 eV/atom
- DOS at the Fermi energy: 27.364 states/eV/cell
- Symmetry: No. 11